## TbDyAg2Te4 (GGA-PBE)

Data for an optimized crystal structure of TbDyAg2Te4.

The structure in CIF format:
```
data_TbDyAg2Te4
_cell_length_a 7.441
_cell_length_b 4.416
_cell_length_c 7.642
_cell_angle_alpha 90.00
_cell_angle_beta 109.79
_cell_angle_gamma 90.00
_space_group_name_H-M_alt 'P 1 2/m 1'
_space_group_IT_number 10
_space_group_name_Hall '-P 2y'
loop_
_atom_site_label
_atom_site_type_symbol
_atom_site_fract_x
_atom_site_fract_y
_atom_site_fract_z
Tb1 Tb 0.000 0.000 0.000
Dy1 Dy 0.000 0.500 0.500
Ag1 Ag 0.500 0.000 0.500
Ag2 Ag 0.500 0.500 0.000
Te1 Te 0.254 0.000 0.749
Te2 Te 0.255 0.500 0.251
```

Total DFT energy (no corrections) ... -4.27 eV/atom
Formation energy without anion corrections ... -0.834 eV/atom